(1)
Density functional theory data (PBE) for a geometry-optimized TbEr2ScSe4 structure.

Output
- density (kg/m3) = 7739
- final energy (eV/atom) = -5.93
- ΔE_f (raw) (eV/atom) = -1.68

abc: 6.954 3.978 7.007
angles: 90.00 108.99 90.00
Space group P2/m (No. 10)
Symmetry-distinct sites (fractional):
1 Tb 0.000 0.000 0.000 x1
2 Er 0.500 0.000 0.500 x1
3 Er 0.500 0.500 0.000 x1
4 Sc 0.000 0.500 0.500 x1
5 Se 0.244 0.000 0.741 x2
6 Se 0.250 0.500 0.257 x2

(2)
Density functional theory data (PBE) for a geometry-optimized Ti2Zn3 structure.

Output
- ΔE to the lowest computed polymorph (meV/atom) = 79
- density (kg/m3) = 6244
- ΔE_f (eV/atom) = -0.10
- final energy (eV/atom) = -4.03

abc: 4.3175 4.3175 14.4291
angles: 90.00 90.00 120.00
Space group R-3m (No. 166, hexagonal axes)
Symmetry-distinct sites (fractional):
1 Ti 0.0000 0.0000 0.1014 x6
2 Zn 0.0000 0.0000 0.3096 x6
3 Zn 0.0000 0.0000 0.5000 x3

(3)
Density functional theory data (PBE) for a geometry-optimized HfSeN structure.

Output
- density (kg/m3) = 8230
- final energy (eV/atom) = -8.42
- ΔE_f (raw) (eV/atom) = -1.16

abc: 3.600 13.621 4.468
angles: 90.00 90.00 90.00
Space group Cmcm (No. 63)
Symmetry-distinct sites (fractional):
1 Hf 0.000 0.198 0.250 x4
2 Se 0.000 0.461 0.750 x4
3 N 0.000 0.219 0.750 x4

(4)
Density functional theory data (PBE) for a geometry-optimized Pr2Th2Te5 structure.

Output
- density (kg/m3) = 7974
- final energy (eV/atom) = -5.71
- ΔE_f (raw) (eV/atom) = -1.25

abc: 16.549 5.489 6.627
angles: 90.00 106.77 90.00
Space group C2/m (No. 12)
Symmetry-distinct sites (fractional):
1 Pr 0.091 0.000 0.375 x4
2 Th 0.197 0.500 0.804 x4
3 Te 0.000 0.500 0.500 x2
4 Te 0.110 0.000 0.897 x4
5 Te 0.210 0.500 0.312 x4

(5)
Density functional theory data (PBE) for a geometry-optimized Sb2SF3 structure.

Output
- density (kg/m3) = 4290
- final energy (eV/atom) = -4.56
- ΔE_f (raw) (eV/atom) = -1.56

abc: 14.489 4.128 8.653
angles: 90.00 95.79 90.00
Space group C2/m (No. 12)
Symmetry-distinct sites (fractional):
1 Sb 0.092 0.000 0.437 x4
2 Sb 0.143 0.500 0.868 x4
3 S 0.049 0.500 0.260 x4
4 F 0.137 0.000 0.803 x4
5 F 0.155 0.500 0.638 x4
6 F 0.218 0.000 0.116 x4

(6)
Density functional theory data (PBE) for a geometry-optimized LiGdNpIr structure.

Output
- density (kg/m3) = 11662
- ΔE_f (eV/atom) = -0.13
- final energy (eV/atom) = -9.58

abc: 6.966 6.966 6.966
angles: 90.00 90.00 90.00
Space group F-43m (No. 216)
Symmetry-distinct sites (fractional):
1 Li 0.000 0.000 0.000 x4
2 Gd 0.250 0.250 0.250 x4
3 Np 0.250 0.250 0.750 x4
4 Ir 0.000 0.000 0.500 x4

(7)
Density functional theory data (PBE) for a geometry-optimized Ti2MoW3 structure.

Output
- ΔE to the lowest computed polymorph (meV/atom) = 0
- density (kg/m3) = 12844
- ΔE_f (eV/atom) = -0.10
- final energy (eV/atom) = -11.01

abc: 9.523 4.463 5.567
angles: 90.00 125.70 90.00
Space group Cm (No. 8)
Symmetry-distinct sites (fractional):
1 Ti 0.000 0.000 0.000 x2
2 Ti 0.004 0.000 0.503 x2
3 Mo 0.335 0.000 0.664 x2
4 W 0.168 0.500 0.847 x2
5 W 0.169 0.500 0.347 x2
6 W 0.335 0.000 0.163 x2

(8)
Density functional theory data (PBE) for a geometry-optimized ErLuZnRh structure.

Output
- density (kg/m3) = 10456
- ΔE_f (eV/atom) = -0.65
- final energy (eV/atom) = -5.08

abc: 6.871 6.871 6.871
angles: 90.00 90.00 90.00
Space group F-43m (No. 216)
Symmetry-distinct sites (fractional):
1 Er 0.000 0.000 0.000 x4
2 Lu 0.000 0.000 0.500 x4
3 Zn 0.250 0.250 0.750 x4
4 Rh 0.250 0.250 0.250 x4

(9)
Density functional theory data (PBE) for a geometry-optimized La2Pd2Pt structure.

Output
- ΔE to the lowest computed polymorph (meV/atom) = 0
- density (kg/m3) = 9795
- ΔE_f (eV/atom) = -0.92
- final energy (eV/atom) = -6.17

abc: 4.185 6.822 8.144
angles: 90.00 90.00 90.00
Space group Immm (No. 71)
Symmetry-distinct sites (fractional):
1 La 0.000 0.000 0.231 x4
2 Pd 0.000 0.299 0.500 x4
3 Pt 0.000 0.500 0.000 x2

(10)
Density functional theory data (PBE) for a geometry-optimized SiOsSCl2 structure.

Output
- ΔE to the lowest computed polymorph (meV/atom) = 0
- density (kg/m3) = 5006
- final energy (eV/atom) = -4.26
- ΔE_f (raw) (eV/atom) = 0.63

abc: 4.882 4.882 4.471
angles: 90.00 90.00 90.00
Space group P4/mmm (No. 123)
Symmetry-distinct sites (fractional):
1 Si 0.000 0.000 0.000 x1
2 Os 0.500 0.500 0.500 x1
3 S 0.500 0.500 0.000 x1
4 Cl 0.000 0.500 0.500 x2

(11)
Density functional theory data (PBE) for a geometry-optimized Sn2IrO structure.

Output
- density (kg/m3) = 8555
- final energy (eV/atom) = -5.75
- ΔE_f (raw) (eV/atom) = -0.30

abc: 5.738 5.738 10.510
angles: 90.00 90.00 90.00
Space group I-42d (No. 122)
Symmetry-distinct sites (fractional):
1 Sn 0.212 0.250 0.125 x8
2 Ir 0.000 0.000 0.500 x4
3 O 0.000 0.000 0.000 x4

(12)
Density functional theory data (PBE) for a geometry-optimized CsTl3Rh structure.

Output
- density (kg/m3) = 9571
- ΔE_f (eV/atom) = 0.22
- final energy (eV/atom) = -2.84

abc: 5.6094 5.6094 10.8107
angles: 90.00 90.00 120.00
Space group P6_3/mmc (No. 194)
Symmetry-distinct sites (fractional):
1 Cs 0.3333 0.6667 0.2500 x2
2 Tl 0.0000 0.0000 0.2500 x2
3 Tl 0.3333 0.6667 0.5738 x4
4 Rh 0.0000 0.0000 0.0000 x2